Entry 1:
DFT (PBE) results for crystalline Tl2ReW at its relaxed geometry.

The structure in POSCAR format:
```
Tl2ReW
1.0
-5.528 -5.333 1.135
4.980 -4.280 4.143
-1.078 -3.475 4.981
Tl W Re
4 2 2
direct
0.120 0.625 0.250 Tl
0.375 0.370 0.750 Tl
0.875 0.880 0.750 Tl
0.630 0.125 0.250 Tl
0.250 0.750 0.500 W
0.500 0.500 0.000 W
0.000 0.000 0.000 Re
0.750 0.250 0.500 Re
```

Output
Volume = 84.75 Å³/f.u.
Calculated formation energy = 1701 meV per atom
Excess energy over the best structure of this formula in the dataset = 448 kJ/mol of formula units
Spin magnetization = 2.0 μB/f.u.
Total DFT energy (no corrections) = -46.7 eV/cell
Space-group type = I-42d


Entry 2:
DFT (PBE) results for crystalline Ac2GaSn2 at its relaxed geometry.

The structure in POSCAR format:
```
Ac2GaSn2
1.0
4.717 0.000 0.000
0.000 7.609 0.000
-2.358 0.000 9.426
Ga Ac Sn
2 4 4
direct
0.406 0.072 0.813 Ga
0.594 0.572 0.187 Ga
0.980 0.728 0.961 Ac
0.211 0.916 0.422 Ac
0.789 0.416 0.578 Ac
0.020 0.228 0.039 Ac
0.834 0.975 0.669 Sn
0.416 0.444 0.831 Sn
0.584 0.944 0.169 Sn
0.166 0.475 0.331 Sn
```

Output
Volume = 169.14 Å³/f.u.
Calculated formation energy = -537 meV per atom
Excess energy over the best structure of this formula in the dataset = 55 kJ/mol of formula units
Spin magnetization = 0.0 μB/f.u.
Total DFT energy (no corrections) = -43.9 eV/cell
Space-group type = Cmc2_1


Entry 3:
DFT (PBE) results for crystalline CaZn2Fe at its relaxed geometry.

The structure in POSCAR format:
```
CaZn2Fe
1.0
-0.262 4.809 1.295
-2.918 0.180 4.040
3.999 -2.836 -0.913
Fe Zn Ca
1 2 1
direct
0.750 0.250 0.500 Fe
0.000 0.000 0.000 Zn
0.250 0.750 0.500 Zn
0.500 0.500 0.000 Ca
```

Output
Volume = 71.73 Å³/f.u.
Calculated formation energy = 260 meV per atom
Spin magnetization = 2.4 μB/f.u.
Total DFT energy (no corrections) = -12.0 eV/cell
Space-group type = I-4m2


Entry 4:
DFT (PBE) results for crystalline Li7CaGa5 at its relaxed geometry.

The structure in POSCAR format:
```
Li7CaGa5
1.0
-3.781 1.086 -3.828
-1.770 -5.664 -3.794
-6.589 -0.933 2.309
Ga Li Ca
5 7 1
direct
0.707 0.793 0.793 Ga
0.494 0.500 0.000 Ga
0.494 0.000 0.500 Ga
0.006 0.000 0.500 Ga
0.006 0.500 0.000 Ga
0.282 0.218 0.218 Li
0.993 0.355 0.658 Li
0.993 0.658 0.355 Li
0.503 0.212 0.782 Li
0.663 0.337 0.337 Li
0.503 0.782 0.212 Li
0.349 0.651 0.651 Li
0.005 0.995 0.995 Ca
```

Output
Volume = 230.96 Å³/f.u.
Calculated formation energy = -288 meV per atom
Spin magnetization = 0.0 μB/f.u.
Total DFT energy (no corrections) = -34.3 eV/cell
Space-group type = Imm2